Material: BaTlMo2
Method: DFT, GGA-PBE
State: optimized geometry

a = 5.880 Å, b = 5.880 Å, c = 2.901 Å
α = 90.00°, β = 90.00°, γ = 114.11°
Fractional positions:
Mo 0.500 0.500 0.000
Mo 0.000 0.000 0.000
Tl 0.500 0.000 0.500
Ba 0.000 0.500 0.500

Properties
DFT formation energy: 1380.0 meV per atom
magnetization: 0.0 μB per cell
energy above the most stable polymorph in this dataset: 21.42 kcal/mol of atoms

=====

Material: BaTlMo2
Method: DFT, GGA-PBE
State: optimized geometry

a = 5.296 Å, b = 3.369 Å, c = 6.461 Å
α = 98.09°, β = 90.00°, γ = 90.00°
Fractional positions:
Tl 0.500 0.250 0.250
Mo 0.000 0.043 0.382
Mo 0.000 0.457 0.118
Ba 0.500 0.750 0.750

Properties
DFT formation energy: 781.5 meV per atom
magnetization: 0.0 μB per cell
energy above the most stable polymorph in this dataset: 7.61 kcal/mol of atoms

=====

Material: BaTl2Mo
Method: DFT, GGA-PBE
State: optimized geometry

a = 5.492 Å, b = 5.492 Å, c = 5.492 Å
α = 60.00°, β = 60.00°, γ = 60.00°
Fractional positions:
Ba 0.500 0.500 0.500
Tl 0.750 0.750 0.750
Tl 0.250 0.250 0.250
Mo 0.000 0.000 0.000

Properties
DFT formation energy: 558.5 meV per atom
magnetization: 3.5 μB per cell
energy above the most stable polymorph in this dataset: 3.13 kcal/mol of atoms

=====

Material: Ba2TlMo
Method: DFT, GGA-PBE
State: optimized geometry

a = 10.989 Å, b = 10.989 Å, c = 10.989 Å
α = 20.47°, β = 20.47°, γ = 20.47°
Fractional positions:
Ba 0.508 0.508 0.508
Ba 0.992 0.992 0.992
Tl 0.750 0.750 0.750
Mo 0.250 0.250 0.250

Properties
DFT formation energy: 794.0 meV per atom
magnetization: 2.5 μB per cell
energy above the most stable polymorph in this dataset: 6.41 kcal/mol of atoms

=====

Material: BaTlMo2
Method: DFT, GGA-PBE
State: optimized geometry

a = 5.143 Å, b = 5.143 Å, c = 5.143 Å
α = 120.09°, β = 120.09°, γ = 89.84°
Fractional positions:
Mo 0.250 0.750 0.500
Mo 0.000 0.000 0.000
Tl 0.500 0.500 0.000
Ba 0.750 0.250 0.500

Properties
DFT formation energy: 1140.8 meV per atom
magnetization: 0.8 μB per cell
energy above the most stable polymorph in this dataset: 15.90 kcal/mol of atoms

=====

Material: BaTlMo2
Method: DFT, GGA-PBE
State: optimized geometry

a = 10.215 Å, b = 10.215 Å, c = 10.215 Å
α = 19.08°, β = 19.08°, γ = 19.08°
Fractional positions:
Ba 0.744 0.744 0.744
Tl 0.513 0.513 0.513
Mo 0.981 0.981 0.981
Mo 0.262 0.262 0.262

Properties
DFT formation energy: 655.4 meV per atom
magnetization: 0.0 μB per cell
energy above the most stable polymorph in this dataset: 4.71 kcal/mol of atoms

=====

What did the sixth record say?
Material: BaTlMo2
Method: DFT, GGA-PBE
State: optimized geometry

a = 10.215 Å, b = 10.215 Å, c = 10.215 Å
α = 19.08°, β = 19.08°, γ = 19.08°
Fractional positions:
Ba 0.744 0.744 0.744
Tl 0.513 0.513 0.513
Mo 0.981 0.981 0.981
Mo 0.262 0.262 0.262

Properties
DFT formation energy: 655.4 meV per atom
magnetization: 0.0 μB per cell
energy above the most stable polymorph in this dataset: 4.71 kcal/mol of atoms